A relaxed Pr7ThIn4 crystal. Source: the Alexandria database, functional PBE.

Cell: 7.9684 7.9684 10.6497 Å, 120.43 120.43 44.25°
Closest atoms and distances in Å follow each position.
Atoms (fractional coordinates):
1 Pr 0.0000 0.0000 0.0000  2 Th 3.00, 4 In 3.09-3.22
2 Pr 0.2254 0.2254 0.6672  4 In 3.08-3.29
3 Pr 0.2976 0.2976 0.1142  3 Pr 3.36-3.63, 4 In 3.54-3.62
4 Pr 0.4381 0.4381 0.6115  3 In 3.26-3.35, 2 Pr 3.36-3.50
5 Pr 0.5619 0.5619 0.3885  3 In 3.26-3.35, 2 Pr 3.36-3.50
6 Pr 0.7024 0.7024 0.8858  3 Pr 3.36-3.63, 4 In 3.54-3.62
7 Pr 0.7746 0.7746 0.3328  4 In 3.08-3.29
8 Th 0.5000 0.5000 0.0000  2 Pr 3.00
9 In 0.0522 0.0522 0.7436  4 Pr 3.08-3.35, 1 In 3.11
10 In 0.1842 0.1842 0.3360  5 Pr 3.09-3.29, 1 In 3.11
11 In 0.8158 0.8158 0.6640  5 Pr 3.09-3.29, 1 In 3.11
12 In 0.9478 0.9478 0.2564  4 Pr 3.08-3.35, 1 In 3.11

Summary:
- ΔH_f (0 K): -0.11 eV per atom
- Electronic total energy: -4.431 eV/atom

A relaxed NbW3S crystal. Source: the Alexandria database, functional PBE.

Cell: 4.4256 4.4256 4.4256 Å, 90.00 90.00 90.00°
Closest atoms and distances in Å follow each position.
Atoms (fractional coordinates):
1 Nb 0.0000 0.0000 0.0000  12 W 3.13
2 W 0.0000 0.5000 0.5000  2 S 2.21
3 W 0.5000 0.0000 0.5000  2 S 2.21
4 W 0.5000 0.5000 0.0000  2 S 2.21
5 S 0.5000 0.5000 0.5000  6 W 2.21

Summary:
- Offset from the most stable computed form: 0 meV/atom
- Electronic total energy: -9.865 eV/atom
- Raw formation energy: 0.75 eV/atom

A relaxed TaS crystal. Source: the Alexandria database, functional PBE.

Cell: 3.2962 9.6597 6.7053 Å, 90.00 90.00 90.00°
Closest atoms and distances in Å follow each position.
Atoms (fractional coordinates):
1 Ta 0.0000 0.0000 0.0000  4 S 2.44-2.50
2 Ta 0.0000 0.5000 0.5000  4 S 2.44-2.50
3 Ta 0.5000 0.2468 0.0253  5 S 2.50-2.77
4 Ta 0.5000 0.2532 0.5252  5 S 2.50-2.77
5 Ta 0.5000 0.7468 0.5252  5 S 2.50-2.77
6 Ta 0.5000 0.7532 0.0253  5 S 2.50-2.77
7 S 0.0000 0.1631 0.2773  5 Ta 2.44-2.50
8 S 0.0000 0.3369 0.7773  5 Ta 2.44-2.50
9 S 0.0000 0.6631 0.7773  5 Ta 2.44-2.50
10 S 0.0000 0.8369 0.2773  5 Ta 2.44-2.50
11 S 0.5000 0.0000 0.7191  4 Ta 2.50-2.77
12 S 0.5000 0.5000 0.2191  4 Ta 2.50-2.77

Summary:
- Electronic total energy: -8.547 eV/atom
- Raw formation energy: -0.56 eV/atom

A relaxed Na2SmSn3Te6 crystal. Source: the Alexandria database, functional PBE.

Cell: 7.7519 7.7519 7.9548 Å, 99.35 99.35 119.97°
Closest atoms and distances in Å follow each position.
Atoms (fractional coordinates):
1 Na 0.1676 0.8324 0.0000  6 Te 3.23-3.27
2 Na 0.8324 0.1676 0.0000  6 Te 3.23-3.27
3 Sm 0.5000 0.5000 0.0000  6 Te 3.14-3.17
4 Sn 0.0000 0.0000 0.5000  6 Te 3.15-3.22
5 Sn 0.3366 0.6634 0.5000  6 Te 3.10-3.29
6 Sn 0.6634 0.3366 0.5000  6 Te 3.10-3.29
7 Te 0.0930 0.4151 0.7485  1 Sm 3.14, 3 Sn 3.15-3.29, 2 Na 3.23
8 Te 0.2625 0.2625 0.2584  3 Sn 3.10-3.22, 1 Sm 3.17, 2 Na 3.27
9 Te 0.4151 0.0930 0.7485  1 Sm 3.14, 3 Sn 3.15-3.29, 2 Na 3.23
10 Te 0.5849 0.9070 0.2515  1 Sm 3.14, 3 Sn 3.15-3.29, 2 Na 3.23
11 Te 0.7375 0.7375 0.7416  3 Sn 3.10-3.22, 1 Sm 3.17, 2 Na 3.27
12 Te 0.9070 0.5849 0.2515  1 Sm 3.14, 3 Sn 3.15-3.29, 2 Na 3.23

Summary:
- Electronic total energy: -3.858 eV/atom
- Raw formation energy: -0.67 eV/atom

A relaxed Tb4HoEr3Se8 crystal. Source: the Alexandria database, functional PBE.

Cell: 8.1527 8.1527 8.1527 Å, 59.77 59.77 59.77°
Closest atoms and distances in Å follow each position.
Atoms (fractional coordinates):
1 Tb 0.0000 0.0000 0.0000  6 Se 2.89
2 Tb 0.0000 0.5000 0.5000  6 Se 2.90
3 Tb 0.5000 0.0000 0.5000  6 Se 2.90
4 Tb 0.5000 0.5000 0.0000  6 Se 2.90
5 Ho 0.5000 0.5000 0.5000  6 Se 2.86
6 Er 0.0000 0.0000 0.5000  6 Se 2.85
7 Er 0.0000 0.5000 0.0000  6 Se 2.85
8 Er 0.5000 0.0000 0.0000  6 Se 2.85
9 Se 0.2474 0.7485 0.7485  2 Er 2.85, 1 Ho 2.86, 3 Tb 2.89-2.90
10 Se 0.2480 0.2480 0.2480  3 Er 2.85, 3 Tb 2.90
11 Se 0.2515 0.2515 0.7526  2 Er 2.85, 1 Ho 2.86, 3 Tb 2.89-2.90
12 Se 0.2515 0.7526 0.2515  2 Er 2.85, 1 Ho 2.86, 3 Tb 2.89-2.90
13 Se 0.7485 0.2474 0.7485  2 Er 2.85, 1 Ho 2.86, 3 Tb 2.89-2.90
14 Se 0.7485 0.7485 0.2474  2 Er 2.85, 1 Ho 2.86, 3 Tb 2.89-2.90
15 Se 0.7520 0.7520 0.7520  3 Er 2.85, 3 Tb 2.90
16 Se 0.7526 0.2515 0.2515  2 Er 2.85, 1 Ho 2.86, 3 Tb 2.89-2.90

Summary:
- Electronic total energy: -5.775 eV/atom
- Raw formation energy: -1.73 eV/atom

A relaxed TiFeH3 crystal. Source: the Alexandria database, functional PBE.

Cell: 3.2395 3.2395 3.2395 Å, 90.00 90.00 90.00°
Closest atoms and distances in Å follow each position.
Atoms (fractional coordinates):
1 Ti 0.0000 0.0000 0.0000  12 H 2.29
2 Fe 0.5000 0.5000 0.5000  6 H 1.62
3 H 0.0000 0.5000 0.5000  2 Fe 1.62
4 H 0.5000 0.0000 0.5000  2 Fe 1.62
5 H 0.5000 0.5000 0.0000  2 Fe 1.62

Summary:
- Electronic total energy: -5.444 eV/atom